(1)
A relaxed structure of Rb2HfBr6Cl. Source: Alexandria, functional GGA-PBE.

Output
Uncorrected energy = -3.69 eV/atom
ΔE to the lowest computed polymorph = 94.8 meV/atom
Calculated volume = 39.7 Å³ per atom
M_tot = 0.00 μB per formula unit
SG = I4/mmm, No. 139
Uncorrected formation energy = -1.3156 eV/atom

a = 8.1217 Å, b = 8.1217 Å, c = 8.1217 Å
α = 116.23°, β = 116.23°, γ = 96.66°
Last column: nearest neighbours and their distance in Å.
Fractional coordinates of all 10 atoms:
Rb 0.2500 0.7500 0.5000  12 Br 4.08-4.29
Rb 0.7500 0.2500 0.5000  12 Br 4.08-4.29
Hf 0.0000 0.0000 0.0000  6 Br 2.62-2.63
Br 0.2155 0.2155 0.4311  1 Hf 2.62
Br 0.2155 0.7845 0.0000  1 Hf 2.62
Br 0.2438 0.2438 0.0000  1 Hf 2.63, 1 Cl 2.77
Br 0.7562 0.7562 0.0000  1 Hf 2.63, 1 Cl 2.77
Br 0.7845 0.2155 0.0000  1 Hf 2.62
Br 0.7845 0.7845 0.5689  1 Hf 2.62
Cl 0.5000 0.5000 0.0000  2 Br 2.77

---

(2)
A relaxed structure of Rb2HfBr5Cl. Source: Alexandria, functional GGA-PBE.

Output
Uncorrected energy = -4.14 eV/atom
Calculated volume = 35.8 Å³ per atom
M_tot = 0.00 μB per formula unit
SG = I4mm, No. 107
Uncorrected formation energy = -1.6887 eV/atom

a = 7.6814 Å, b = 7.6814 Å, c = 7.6814 Å
α = 119.62°, β = 119.62°, γ = 90.66°
Last column: nearest neighbours and their distance in Å.
Fractional coordinates of all 9 atoms:
Rb 0.0000 0.5000 0.5000  10 Br 3.84-3.86, 2 Cl 3.87
Rb 0.5000 0.0000 0.5000  10 Br 3.84-3.86, 2 Cl 3.87
Hf 0.2486 0.2486 0.0000  1 Cl 2.44, 5 Br 2.63
Br 0.0099 0.0099 0.5186  1 Hf 2.63
Br 0.0099 0.4913 0.0000  1 Hf 2.63
Br 0.4913 0.0099 0.0000  1 Hf 2.63
Br 0.4913 0.4913 0.4814  1 Hf 2.63
Br 0.4921 0.4921 0.0000  1 Hf 2.63
Cl 0.0226 0.0226 0.0000  1 Hf 2.44

---

(3)
A relaxed structure of Rb2HfBr2Cl4. Source: Alexandria, functional GGA-PBE.

Output
Uncorrected energy = -4.38 eV/atom
Calculated volume = 33.6 Å³ per atom
M_tot = 0.00 μB per formula unit
SG = C2/m, No. 12
Uncorrected formation energy = -1.8702 eV/atom

a = 7.5146 Å, b = 7.5146 Å, c = 7.5437 Å
α = 119.67°, β = 119.67°, γ = 59.72°
Last column: nearest neighbours and their distance in Å.
Fractional coordinates of all 9 atoms:
Rb 0.2492 0.2492 0.2359  8 Cl 3.59-4.00, 4 Br 3.61-3.93
Rb 0.7508 0.7508 0.7641  8 Cl 3.59-4.00, 4 Br 3.61-3.93
Hf 0.5000 0.5000 0.0000  4 Cl 2.46, 2 Br 2.64
Br 0.2549 0.2549 0.7204  1 Hf 2.64
Br 0.7451 0.7451 0.2796  1 Hf 2.64
Cl 0.2496 0.7137 0.2109  1 Hf 2.46
Cl 0.2863 0.7504 0.7891  1 Hf 2.46
Cl 0.7137 0.2496 0.2109  1 Hf 2.46
Cl 0.7504 0.2863 0.7891  1 Hf 2.46

---

(4)
A relaxed structure of HfSBrCl2. Source: Alexandria, functional GGA-PBE.

Output
Uncorrected energy = -4.81 eV/atom
ΔE to the lowest computed polymorph = 0.0 meV/atom
Calculated volume = 24.9 Å³ per atom
M_tot = 0.71 μB per formula unit
SG = P4/mmm, No. 123
Uncorrected formation energy = -0.9175 eV/atom

a = 4.9876 Å, b = 4.9876 Å, c = 4.9988 Å
α = 90.00°, β = 90.00°, γ = 90.00°
Last column: nearest neighbours and their distance in Å.
Fractional coordinates of all 5 atoms:
Hf 0.0000 0.0000 0.0000  4 Cl 2.49, 2 S 2.50
S 0.0000 0.0000 0.5000  2 Hf 2.50
Br 0.5000 0.5000 0.5000  4 S 3.53, 8 Cl 3.53
Cl 0.0000 0.5000 0.0000  2 Hf 2.49
Cl 0.5000 0.0000 0.0000  2 Hf 2.49

---

(5)
A relaxed structure of HfSBrCl2. Source: Alexandria, functional GGA-PBE.

Output
Uncorrected energy = -3.03 eV/atom
ΔE to the lowest computed polymorph = 1778.8 meV/atom
Calculated volume = 26.5 Å³ per atom
M_tot = 1.88 μB per formula unit
SG = P4/mmm, No. 123
Uncorrected formation energy = 0.8613 eV/atom

a = 4.9572 Å, b = 4.9572 Å, c = 5.3848 Å
α = 90.00°, β = 90.00°, γ = 90.00°
Last column: nearest neighbours and their distance in Å.
Fractional coordinates of all 5 atoms:
Hf 0.0000 0.0000 0.0000  4 S 3.51, 8 Cl 3.66
S 0.5000 0.5000 0.0000  2 Br 2.69
Br 0.5000 0.5000 0.5000  4 Cl 2.48, 2 S 2.69
Cl 0.0000 0.5000 0.5000  2 Br 2.48
Cl 0.5000 0.0000 0.5000  2 Br 2.48

---

(6)
A relaxed structure of HfSeBr2Cl. Source: Alexandria, functional GGA-PBE.

Output
Uncorrected energy = -4.39 eV/atom
ΔE to the lowest computed polymorph = 0.0 meV/atom
Calculated volume = 28.6 Å³ per atom
M_tot = 0.95 μB per formula unit
SG = P4/mmm, No. 123
Uncorrected formation energy = -0.6628 eV/atom

a = 5.2381 Å, b = 5.2381 Å, c = 5.2166 Å
α = 90.00°, β = 90.00°, γ = 90.00°
Last column: nearest neighbours and their distance in Å.
Fractional coordinates of all 5 atoms:
Hf 0.0000 0.0000 0.0000  2 Se 2.61, 4 Br 2.62
Se 0.0000 0.0000 0.5000  2 Hf 2.61
Br 0.0000 0.5000 0.0000  2 Hf 2.62
Br 0.5000 0.0000 0.0000  2 Hf 2.62
Cl 0.5000 0.5000 0.5000  8 Br 3.70, 4 Se 3.70

---

Look up the uncorrected energy of the sixth one.
-4.39 eV/atom